Record 1
Material: Ac12Hg3N5
Method: DFT, GGA-PBE
State: relaxed

Properties
Uncorrected formation energy in eV per atom: -0.639

a = 14.920 Å, b = 14.920 Å, c = 14.920 Å
α = 109.47°, β = 109.47°, γ = 109.47°
Sites, in units of the cell vectors:
Ac  0.012  0.198  0.111
Ac  0.012  0.314  0.901
Ac  0.087  0.698  0.686
Ac  0.087  0.889  0.401
Ac  0.099  0.611  0.413
Ac  0.099  0.988  0.686
Ac  0.111  0.012  0.198
Ac  0.111  0.599  0.913
Ac  0.186  0.198  0.587
Ac  0.186  0.488  0.599
Ac  0.198  0.111  0.012
Ac  0.198  0.587  0.186
Ac  0.302  0.314  0.913
Ac  0.302  0.488  0.389
Ac  0.314  0.901  0.012
Ac  0.314  0.913  0.302
Ac  0.389  0.302  0.488
Ac  0.389  0.587  0.901
Ac  0.401  0.087  0.889
Ac  0.401  0.814  0.512
Ac  0.413  0.099  0.611
Ac  0.413  0.814  0.802
Ac  0.488  0.389  0.302
Ac  0.488  0.599  0.186
Ac  0.512  0.401  0.814
Ac  0.512  0.611  0.698
Ac  0.587  0.186  0.198
Ac  0.587  0.901  0.389
Ac  0.599  0.186  0.488
Ac  0.599  0.913  0.111
Ac  0.611  0.413  0.099
Ac  0.611  0.698  0.512
Ac  0.686  0.087  0.698
Ac  0.686  0.099  0.988
Ac  0.698  0.512  0.611
Ac  0.698  0.686  0.087
Ac  0.802  0.413  0.814
Ac  0.802  0.889  0.988
Ac  0.814  0.512  0.401
Ac  0.814  0.802  0.413
Ac  0.889  0.401  0.087
Ac  0.889  0.988  0.802
Ac  0.901  0.012  0.314
Ac  0.901  0.389  0.587
Ac  0.913  0.111  0.599
Ac  0.913  0.302  0.314
Ac  0.988  0.686  0.099
Ac  0.988  0.802  0.889
Hg  0.125  0.250  0.375
Hg  0.125  0.375  0.750
Hg  0.250  0.375  0.125
Hg  0.250  0.875  0.625
Hg  0.375  0.125  0.250
Hg  0.375  0.750  0.125
Hg  0.625  0.250  0.875
Hg  0.625  0.875  0.750
Hg  0.750  0.125  0.375
Hg  0.750  0.625  0.875
Hg  0.875  0.625  0.250
Hg  0.875  0.750  0.625
N  0.000  0.000  0.000
N  0.000  0.000  0.500
N  0.000  0.500  0.000
N  0.000  0.500  0.500
N  0.125  0.750  0.875
N  0.125  0.875  0.250
N  0.250  0.125  0.875
N  0.250  0.625  0.375
N  0.375  0.250  0.625
N  0.375  0.625  0.750
N  0.500  0.000  0.000
N  0.500  0.000  0.500
N  0.500  0.500  0.000
N  0.500  0.500  0.500
N  0.625  0.375  0.250
N  0.625  0.750  0.375
N  0.750  0.375  0.625
N  0.750  0.875  0.125
N  0.875  0.125  0.750
N  0.875  0.250  0.125

=====

Record 2
Material: Ac2HgN
Method: DFT, GGA-PBE
State: relaxed

Properties
Relative energy among the computed polymorphs in eV per atom: 0.000
Uncorrected formation energy in eV per atom: -0.800

a = 6.052 Å, b = 6.198 Å, c = 7.522 Å
α = 90.09°, β = 113.63°, γ = 90.00°
Sites, in units of the cell vectors:
Ac  0.113  0.000  0.302
Ac  0.310  0.500  0.698
Ac  0.690  0.500  0.302
Ac  0.887  0.000  0.698
Hg  0.000  0.500  0.000
Hg  0.500  0.000  0.000
N  0.000  0.250  0.500
N  0.000  0.750  0.500

=====

Record 3
Material: Ac2HgN
Method: DFT, GGA-PBE
State: relaxed

Properties
Relative energy among the computed polymorphs in eV per atom: 0.121
Uncorrected formation energy in eV per atom: -0.679

a = 8.596 Å, b = 8.596 Å, c = 8.596 Å
α = 26.39°, β = 26.39°, γ = 26.39°
Sites, in units of the cell vectors:
Ac  0.000  0.000  0.000
Ac  0.211  0.211  0.211
Hg  0.771  0.771  0.771
N  0.600  0.600  0.600

=====

Record 4
Material: Ac3HgN2
Method: DFT, GGA-PBE
State: relaxed

Properties
Relative energy among the computed polymorphs in eV per atom: 0.000
Uncorrected formation energy in eV per atom: -0.834

a = 8.074 Å, b = 8.074 Å, c = 6.258 Å
α = 95.81°, β = 95.81°, γ = 76.36°
Sites, in units of the cell vectors:
Ac  0.093  0.093  0.276
Ac  0.191  0.615  0.226
Ac  0.385  0.809  0.774
Ac  0.615  0.191  0.226
Ac  0.809  0.385  0.774
Ac  0.907  0.907  0.724
Hg  0.353  0.353  0.727
Hg  0.647  0.647  0.273
N  0.160  0.840  0.500
N  0.162  0.838  0.000
N  0.838  0.162  0.000
N  0.840  0.160  0.500

=====

Record 5
Material: Ac7Hg3N2
Method: DFT, GGA-PBE
State: relaxed

Properties
Uncorrected formation energy in eV per atom: -0.555

a = 13.260 Å, b = 13.260 Å, c = 5.277 Å
α = 90.00°, β = 90.00°, γ = 156.53°
Sites, in units of the cell vectors:
Ac  0.000  0.000  0.000
Ac  0.102  0.898  0.500
Ac  0.203  0.797  0.000
Ac  0.400  0.600  0.000
Ac  0.600  0.400  0.000
Ac  0.797  0.203  0.000
Ac  0.898  0.102  0.500
Hg  0.304  0.696  0.500
Hg  0.500  0.500  0.500
Hg  0.696  0.304  0.500
N  0.105  0.895  0.000
N  0.895  0.105  0.000

=====

Record 6
Material: Ac12Hg5N2
Method: DFT, GGA-PBE
State: relaxed

Properties
Uncorrected formation energy in eV per atom: -0.339

a = 9.862 Å, b = 9.862 Å, c = 10.149 Å
α = 104.58°, β = 104.58°, γ = 48.81°
Sites, in units of the cell vectors:
Ac  0.000  0.000  0.187
Ac  0.000  0.000  0.813
Ac  0.102  0.596  0.915
Ac  0.105  0.601  0.427
Ac  0.399  0.895  0.573
Ac  0.404  0.898  0.085
Ac  0.491  0.491  0.174
Ac  0.509  0.509  0.826
Ac  0.596  0.102  0.915
Ac  0.601  0.105  0.427
Ac  0.895  0.399  0.573
Ac  0.898  0.404  0.085
Hg  0.188  0.188  0.840
Hg  0.199  0.199  0.361
Hg  0.500  0.500  0.500
Hg  0.801  0.801  0.639
Hg  0.812  0.812  0.160
N  0.242  0.758  0.000
N  0.758  0.242  0.000

=====

Record 7
Material: Ac6Hg3N
Method: DFT, GGA-PBE
State: relaxed

Properties
Uncorrected formation energy in eV per atom: -0.456

a = 7.203 Å, b = 8.734 Å, c = 12.785 Å
α = 90.00°, β = 120.84°, γ = 90.00°
Sites, in units of the cell vectors:
Ac  0.072  0.050  0.225
Ac  0.072  0.450  0.725
Ac  0.192  0.724  0.065
Ac  0.192  0.776  0.565
Ac  0.378  0.149  0.057
Ac  0.378  0.351  0.557
Ac  0.622  0.649  0.443
Ac  0.622  0.851  0.943
Ac  0.808  0.224  0.435
Ac  0.808  0.276  0.935
Ac  0.928  0.550  0.275
Ac  0.928  0.950  0.775
Hg  0.309  0.111  0.734
Hg  0.309  0.389  0.234
Hg  0.500  0.000  0.500
Hg  0.500  0.500  0.000
Hg  0.691  0.611  0.766
Hg  0.691  0.889  0.266
N  0.000  0.000  0.000
N  0.000  0.500  0.500

=====

Record 8
Material: AcHgN
Method: DFT, GGA-PBE
State: relaxed

Properties
Relative energy among the computed polymorphs in eV per atom: 0.002
Uncorrected formation energy in eV per atom: -0.496

a = 6.715 Å, b = 6.715 Å, c = 6.715 Å
α = 148.53°, β = 148.53°, γ = 45.11°
Sites, in units of the cell vectors:
Ac  0.000  0.000  0.000
Hg  0.268  0.268  0.000
N  0.462  0.462  0.000

=====

Record 9
Material: Ac7Hg4N
Method: DFT, GGA-PBE
State: relaxed

Properties
Uncorrected formation energy in eV per atom: -0.323

a = 9.127 Å, b = 9.127 Å, c = 11.970 Å
α = 126.98°, β = 126.98°, γ = 34.57°
Sites, in units of the cell vectors:
Ac  0.000  0.000  0.000
Ac  0.133  0.133  0.551
Ac  0.278  0.278  0.147
Ac  0.446  0.446  0.759
Ac  0.554  0.554  0.241
Ac  0.722  0.722  0.853
Ac  0.867  0.867  0.449
Hg  0.086  0.086  0.793
Hg  0.221  0.221  0.368
Hg  0.779  0.779  0.632
Hg  0.914  0.914  0.207
N  0.500  0.500  0.000

=====

Record 10
Material: Ac12Hg3N4
Method: DFT, GGA-PBE
State: relaxed

Properties
Uncorrected formation energy in eV per atom: -0.523

a = 9.248 Å, b = 9.248 Å, c = 9.248 Å
α = 109.47°, β = 109.47°, γ = 109.47°
Sites, in units of the cell vectors:
Ac  0.049  0.774  0.275
Ac  0.226  0.275  0.502
Ac  0.226  0.725  0.951
Ac  0.275  0.049  0.774
Ac  0.275  0.502  0.226
Ac  0.498  0.774  0.725
Ac  0.502  0.226  0.275
Ac  0.725  0.498  0.774
Ac  0.725  0.951  0.226
Ac  0.774  0.275  0.049
Ac  0.774  0.725  0.498
Ac  0.951  0.226  0.725
Hg  0.000  0.500  0.500
Hg  0.500  0.000  0.500
Hg  0.500  0.500  0.000
N  0.000  0.000  0.500
N  0.000  0.500  0.000
N  0.500  0.000  0.000
N  0.500  0.500  0.500

=====

Record 11
Material: Ac3HgN2
Method: DFT, GGA-PBE
State: relaxed

Properties
Relative energy among the computed polymorphs in eV per atom: 0.030
Uncorrected formation energy in eV per atom: -0.805

a = 3.763 Å, b = 12.507 Å, c = 6.605 Å
α = 90.00°, β = 90.00°, γ = 90.00°
Sites, in units of the cell vectors:
Ac  0.000  0.086  0.000
Ac  0.000  0.914  0.500
Ac  0.500  0.168  0.511
Ac  0.500  0.373  0.896
Ac  0.500  0.627  0.396
Ac  0.500  0.832  0.011
Hg  0.000  0.387  0.337
Hg  0.000  0.613  0.837
N  0.000  0.254  0.770
N  0.000  0.746  0.270
N  0.500  0.004  0.769
N  0.500  0.996  0.269

=====

Record 12
Material: Ac4HgN2
Method: DFT, GGA-PBE
State: relaxed

Properties
Uncorrected formation energy in eV per atom: -0.699

a = 8.530 Å, b = 8.530 Å, c = 8.530 Å
α = 102.89°, β = 102.89°, γ = 123.64°
Sites, in units of the cell vectors:
Ac  0.073  0.921  0.738
Ac  0.079  0.817  0.151
Ac  0.085  0.433  0.762
Ac  0.183  0.335  0.262
Ac  0.567  0.329  0.651
Ac  0.665  0.927  0.849
Ac  0.671  0.323  0.238
Ac  0.677  0.915  0.349
Hg  0.250  0.750  0.500
Hg  0.500  0.500  0.000
N  0.375  0.199  0.324
N  0.801  0.125  0.176
N  0.875  0.051  0.676
N  0.949  0.625  0.824